Model one:
## ZnPtNO (PBE)

Data for a geometry-optimized ZnPtNO structure.

Cell and atoms, written as extended XYZ:
```
16
Lattice="-3.524 -2.386 2.919 4.013 -2.772 2.578 0.476 5.112 4.755" Properties=species:S:1:pos:R:3 pbc="T T T"
O -1.482 1.486 4.960
O 0.408 -1.150 5.086
O 1.568 1.789 4.328
O 3.458 -0.847 4.455
Pt -3.186 -2.184 3.341
Pt 0.085 -2.034 2.852
Pt 2.505 1.023 8.274
Pt -0.766 0.873 8.763
N 1.165 -0.515 2.150
N 0.663 1.053 7.388
N 3.489 1.511 6.613
N -1.662 -0.973 2.925
Zn -2.882 0.562 5.963
Zn 0.293 0.779 5.411
Zn -0.980 -1.945 6.209
Zn 2.195 -1.728 5.658
```

Values from the calculation:
**Volume**: 12.451 A^3/atom

***

Model two:
## ZnPtNO (PBE)

Data for a geometry-optimized ZnPtNO structure.

Cell and atoms, written as extended XYZ:
```
16
Lattice="6.012 0.000 0.000 0.000 6.459 0.000 0.000 0.000 5.224" Properties=species:S:1:pos:R:3 pbc="T T T"
Zn 3.633 2.687 5.008
Zn 0.627 3.772 5.008
Zn 2.379 3.772 2.396
Zn 5.385 2.687 2.396
N 3.557 2.327 3.061
N 0.551 4.132 3.061
N 5.462 2.327 0.449
N 2.455 4.132 0.449
Pt 0.099 5.999 2.586
Pt 5.914 0.459 5.198
Pt 3.105 0.459 2.586
Pt 2.908 5.999 5.198
O 2.536 1.277 0.850
O 3.477 5.181 3.462
O 5.542 5.181 0.850
O 0.471 1.277 3.462
```

Values from the calculation:
**Volume**: 12.678 A^3/atom

***

Model three:
## ZnPtNO (PBE)

Data for a geometry-optimized ZnPtNO structure.

Cell and atoms, written as extended XYZ:
```
8
Lattice="3.965 0.000 0.000 0.000 3.965 0.000 0.000 0.000 6.704" Properties=species:S:1:pos:R:3 pbc="T T T"
N 2.973 2.973 2.635
N 0.991 0.991 4.069
Zn 2.973 2.973 0.505
Zn 0.991 0.991 6.199
Pt 2.973 0.991 3.352
Pt 0.991 2.973 3.352
O 0.991 2.973 0.000
O 2.973 0.991 0.000
```

Values from the calculation:
**Volume**: 13.170 A^3/atom

***

Least stable = model two